# Tc2H2Pb

Tc2H2Pb after structural relaxation (GGA-PBE, Alexandria).

The value obtained for the electronic total energy is -5.875 eV per atom.

The structure belongs to space group I4/mmm (No. 139); the cell edges are 3.1980, 3.1980 and 12.0138 Å and the angles 90.00°, 90.00° and 90.00°. The distinct sites, in fractional coordinates, are Tc at (0.0000, 0.0000, 0.1778), H at (0.0000, 0.5000, 0.2500) and Pb at (0.0000, 0.0000, 0.5000).